Below is BaB3Os2 after structural relaxation, with properties calculated at the PBE level.

D(E_F) ... 3.32 states/eV/f.u.
Magnetic moment ... 0.00 μB/f.u.
E_tot ... -7.25 eV per atom
Energy of formation from the pure elements ... 0.91 eV/f.u.
Crystal system ... orthorhombic

Unit cell a=6.292 b=6.577 c=6.577 alpha=47.10 beta=61.42 gamma=61.42
Fractional positions:
B (0.000, 0.676, 0.324)
B (0.500, 0.000, 0.500)
B (0.000, 0.324, 0.676)
B (0.500, 0.176, 0.824)
B (0.500, 0.500, 0.000)
B (0.500, 0.824, 0.176)
Os (0.278, 0.919, 0.919)
Os (0.384, 0.419, 0.419)
Os (0.722, 0.081, 0.081)
Os (0.616, 0.581, 0.581)
Ba (0.893, 0.750, 0.750)
Ba (0.107, 0.250, 0.250)